DFT (GGA-PBE) results for crystalline Fe3HS at its relaxed geometry.

```
5
Lattice="3.532 0.000 0.000 0.000 3.532 0.000 0.000 0.000 3.532" Properties=species:S:1:pos:R:3 pbc="T T T"
Fe 0.000 0.000 1.766
Fe 0.000 1.766 0.000
Fe 1.766 0.000 0.000
H 0.000 0.000 0.000
S 1.766 1.766 1.766
```

Values from the calculation:
ΔE to the lowest computed polymorph (eV/atom): 0.0000
Crystal system: cubic
Total moment (μB/atom): 0.117
SG: Pm-3m
Energy (eV per atom): -6.2697